A relaxed W2O7 crystal, computed with PBE+U.

It has space group Fd-3m (No. 227, origin choice 2), with a = 10.413 Å, b = 10.413 Å, c = 10.413 Å, α = 90.00°, β = 90.00° and γ = 90.00°. The inequivalent atoms are W at (0.000, 0.000, 0.000), O at (0.058, 0.375, 0.375) and O at (0.125, 0.125, 0.625).

As for the raw total energy: -0.2518 hartree per atom.